[1]
Entry from the Alexandria database: a relaxed Ce6CN2Cl3 crystal (PBE).

a b c (Å): 8.9548 8.9548 8.1869
angles (deg): 112.41 112.41 23.31
Element x y z (fractional)
Ce (0.0139, 0.0139, 0.2230)
Ce (0.3206, 0.3206, 0.4463)
Ce (0.3437, 0.3437, 0.8826)
Ce (0.6563, 0.6563, 0.1174)
Ce (0.6794, 0.6794, 0.5537)
Ce (0.9861, 0.9861, 0.7770)
C (0.5000, 0.5000, 0.0000)
N (0.1680, 0.1680, 0.3364)
N (0.8320, 0.8320, 0.6636)
Cl (0.1649, 0.1649, 0.8339)
Cl (0.5000, 0.5000, 0.5000)
Cl (0.8351, 0.8351, 0.1661)

## Properties
The uncorrected formation energy is -16.37 eV per formula unit. The crystal system is monoclinic. The value obtained for the calculated total energy is -83.4 eV per cell.


[2]
Entry from the Alexandria database: a relaxed Ce6C2N3Cl crystal (PBE).

a b c (Å): 8.2122 8.2122 7.4160
angles (deg): 102.88 102.88 25.78
Element x y z (fractional)
Ce (0.0012, 0.0012, 0.2224)
Ce (0.3234, 0.3234, 0.4107)
Ce (0.3327, 0.3327, 0.9160)
Ce (0.6673, 0.6673, 0.0840)
Ce (0.6766, 0.6766, 0.5893)
Ce (0.9988, 0.9988, 0.7776)
C (0.1661, 0.1661, 0.8312)
C (0.8339, 0.8339, 0.1688)
N (0.1699, 0.1699, 0.3327)
N (0.5000, 0.5000, 0.0000)
N (0.8301, 0.8301, 0.6673)
Cl (0.5000, 0.5000, 0.5000)

## Properties
The uncorrected formation energy is -12.37 eV per formula unit. The crystal system is monoclinic. The value obtained for the calculated total energy is -93.2 eV per cell.


[3]
Entry from the Alexandria database: a relaxed Ce8C3NCl4 crystal (PBE).

a b c (Å): 8.2506 8.2506 8.2506
angles (deg): 52.60 52.60 52.60
Element x y z (fractional)
Ce (0.2318, 0.2318, 0.2318)
Ce (0.2351, 0.7296, 0.7296)
Ce (0.2704, 0.2704, 0.7649)
Ce (0.2704, 0.7649, 0.2704)
Ce (0.7296, 0.2351, 0.7296)
Ce (0.7296, 0.7296, 0.2351)
Ce (0.7649, 0.2704, 0.2704)
Ce (0.7682, 0.7682, 0.7682)
C (0.0000, 0.0000, 0.5000)
C (0.0000, 0.5000, 0.0000)
C (0.5000, 0.0000, 0.0000)
N (0.5000, 0.5000, 0.5000)
Cl (0.0000, 0.0000, 0.0000)
Cl (0.0000, 0.5000, 0.5000)
Cl (0.5000, 0.0000, 0.5000)
Cl (0.5000, 0.5000, 0.0000)

## Properties
The uncorrected formation energy is -18.04 eV per formula unit. The crystal system is trigonal. The value obtained for the calculated total energy is -108.9 eV per cell.


[4]
Entry from the Alexandria database: a relaxed Ce4CNCl2 crystal (PBE).

a b c (Å): 6.2855 3.6333 7.3840
angles (deg): 90.00 106.54 90.00
Element x y z (fractional)
Ce (0.2281, 0.0000, 0.1942)
Ce (0.2646, 0.5000, 0.8048)
Ce (0.7354, 0.5000, 0.1952)
Ce (0.7719, 0.0000, 0.8058)
C (0.5000, 0.0000, 0.0000)
N (0.0000, 0.5000, 0.0000)
Cl (0.0000, 0.0000, 0.5000)
Cl (0.5000, 0.5000, 0.5000)

## Properties
The uncorrected formation energy is -10.17 eV per formula unit. The crystal system is monoclinic. The value obtained for the calculated total energy is -55.1 eV per cell.


[5]
Entry from the Alexandria database: a relaxed Ce8CN3Cl4 crystal (PBE).

a b c (Å): 8.1848 8.1848 8.1848
angles (deg): 52.29 52.29 52.29
Element x y z (fractional)
Ce (0.2286, 0.7334, 0.7334)
Ce (0.2314, 0.2314, 0.2314)
Ce (0.2666, 0.2666, 0.7714)
Ce (0.2666, 0.7714, 0.2666)
Ce (0.7334, 0.2286, 0.7334)
Ce (0.7334, 0.7334, 0.2286)
Ce (0.7686, 0.7686, 0.7686)
Ce (0.7714, 0.2666, 0.2666)
C (0.5000, 0.5000, 0.5000)
N (0.0000, 0.0000, 0.5000)
N (0.0000, 0.5000, 0.0000)
N (0.5000, 0.0000, 0.0000)
Cl (0.0000, 0.0000, 0.0000)
Cl (0.0000, 0.5000, 0.5000)
Cl (0.5000, 0.0000, 0.5000)
Cl (0.5000, 0.5000, 0.0000)

## Properties
The uncorrected formation energy is -22.60 eV per formula unit. The crystal system is trigonal. The value obtained for the calculated total energy is -111.7 eV per cell.


[6]
Entry from the Alexandria database: a relaxed Ce4CCl2O crystal (PBE).

a b c (Å): 6.2555 3.6392 7.2870
angles (deg): 90.00 106.82 90.00
Element x y z (fractional)
Ce (0.2328, 0.0000, 0.1985)
Ce (0.2652, 0.5000, 0.8009)
Ce (0.7348, 0.5000, 0.1991)
Ce (0.7672, 0.0000, 0.8015)
C (0.5000, 0.0000, 0.0000)
Cl (0.0000, 0.0000, 0.5000)
Cl (0.5000, 0.5000, 0.5000)
O (0.0000, 0.5000, 0.0000)

## Properties
The uncorrected formation energy is -12.53 eV per formula unit. The crystal system is monoclinic. The value obtained for the calculated total energy is -54.1 eV per cell.


[7]
Entry from the Alexandria database: a relaxed Ce8C3Cl3O crystal (PBE).

a b c (Å): 8.1135 8.1135 8.1135
angles (deg): 53.54 53.54 53.54
Element x y z (fractional)
Ce (0.2307, 0.7350, 0.7350)
Ce (0.2339, 0.2339, 0.2339)
Ce (0.2650, 0.2650, 0.7693)
Ce (0.2650, 0.7693, 0.2650)
Ce (0.7350, 0.2307, 0.7350)
Ce (0.7350, 0.7350, 0.2307)
Ce (0.7661, 0.7661, 0.7661)
Ce (0.7693, 0.2650, 0.2650)
C (0.0000, 0.0000, 0.5000)
C (0.0000, 0.5000, 0.0000)
C (0.5000, 0.0000, 0.0000)
Cl (0.0000, 0.5000, 0.5000)
Cl (0.5000, 0.0000, 0.5000)
Cl (0.5000, 0.5000, 0.0000)
O (0.5000, 0.5000, 0.5000)

## Properties
The uncorrected formation energy is -16.50 eV per formula unit. The crystal system is trigonal. The value obtained for the calculated total energy is -102.1 eV per cell.


[8]
Entry from the Alexandria database: a relaxed Ce8C3Cl4O crystal (PBE).

a b c (Å): 8.1924 8.1924 8.1924
angles (deg): 52.97 52.97 52.97
Element x y z (fractional)
Ce (0.2325, 0.2325, 0.2325)
Ce (0.2332, 0.7318, 0.7318)
Ce (0.2682, 0.2682, 0.7668)
Ce (0.2682, 0.7668, 0.2682)
Ce (0.7318, 0.2332, 0.7318)
Ce (0.7318, 0.7318, 0.2332)
Ce (0.7668, 0.2682, 0.2682)
Ce (0.7675, 0.7675, 0.7675)
C (0.0000, 0.0000, 0.5000)
C (0.0000, 0.5000, 0.0000)
C (0.5000, 0.0000, 0.0000)
Cl (0.0000, 0.0000, 0.0000)
Cl (0.0000, 0.5000, 0.5000)
Cl (0.5000, 0.0000, 0.5000)
Cl (0.5000, 0.5000, 0.0000)
O (0.5000, 0.5000, 0.5000)

## Properties
The uncorrected formation energy is -20.49 eV per formula unit. The crystal system is trigonal. The value obtained for the calculated total energy is -108.0 eV per cell.


[9]
Entry from the Alexandria database: a relaxed Ce6C2Cl3O crystal (PBE).

a b c (Å): 6.3106 6.3106 7.3300
angles (deg): 98.25 98.25 120.00
Element x y z (fractional)
Ce (0.0657, 0.3985, 0.1972)
Ce (0.2670, 0.2670, 0.8018)
Ce (0.3985, 0.0657, 0.1972)
Ce (0.6015, 0.9343, 0.8028)
Ce (0.7330, 0.7330, 0.1982)
Ce (0.9343, 0.6015, 0.8028)
C (0.3337, 0.6663, 0.0000)
C (0.6663, 0.3337, 0.0000)
Cl (0.1700, 0.8300, 0.5000)
Cl (0.5000, 0.5000, 0.5000)
Cl (0.8300, 0.1700, 0.5000)
O (0.0000, 0.0000, 0.0000)

## Properties
The uncorrected formation energy is -16.57 eV per formula unit. The crystal system is monoclinic. The value obtained for the calculated total energy is -81.1 eV per cell.


[10]
Entry from the Alexandria database: a relaxed Ce6Os2CCl3 crystal (PBE).

a b c (Å): 6.7945 6.7945 7.6732
angles (deg): 98.46 98.46 119.95
Element x y z (fractional)
Ce (0.0668, 0.3777, 0.1996)
Ce (0.2423, 0.2423, 0.7985)
Ce (0.3777, 0.0668, 0.1996)
Ce (0.6223, 0.9332, 0.8004)
Ce (0.7577, 0.7577, 0.2015)
Ce (0.9332, 0.6223, 0.8004)
Os (0.3340, 0.6660, 0.0000)
Os (0.6660, 0.3340, 0.0000)
C (0.0000, 0.0000, 0.0000)
Cl (0.1713, 0.8287, 0.5000)
Cl (0.5000, 0.5000, 0.5000)
Cl (0.8287, 0.1713, 0.5000)

## Properties
The uncorrected formation energy is -10.33 eV per formula unit. The crystal system is monoclinic. The value obtained for the calculated total energy is -83.2 eV per cell.


[11]
Entry from the Alexandria database: a relaxed Ce6PC2Cl3 crystal (PBE).

a b c (Å): 9.0790 9.0790 8.2888
angles (deg): 108.23 108.23 24.22
Element x y z (fractional)
Ce (0.0192, 0.0192, 0.2514)
Ce (0.3211, 0.3211, 0.4455)
Ce (0.3333, 0.3333, 0.8720)
Ce (0.6667, 0.6667, 0.1280)
Ce (0.6789, 0.6789, 0.5545)
Ce (0.9808, 0.9808, 0.7486)
P (0.5000, 0.5000, 0.0000)
C (0.1706, 0.1706, 0.3370)
C (0.8294, 0.8294, 0.6630)
Cl (0.1616, 0.1616, 0.8323)
Cl (0.5000, 0.5000, 0.5000)
Cl (0.8384, 0.8384, 0.1677)

## Properties
The uncorrected formation energy is -13.77 eV per formula unit. The crystal system is monoclinic. The value obtained for the calculated total energy is -78.8 eV per cell.


[12]
Entry from the Alexandria database: a relaxed Ce8P3CCl4 crystal (PBE).

a b c (Å): 8.1296 8.1296 8.1296
angles (deg): 59.25 59.25 59.25
Element x y z (fractional)
Ce (0.2455, 0.2455, 0.2455)
Ce (0.2643, 0.7279, 0.7279)
Ce (0.2721, 0.2721, 0.7357)
Ce (0.2721, 0.7357, 0.2721)
Ce (0.7279, 0.2643, 0.7279)
Ce (0.7279, 0.7279, 0.2643)
Ce (0.7357, 0.2721, 0.2721)
Ce (0.7545, 0.7545, 0.7545)
P (0.0000, 0.0000, 0.5000)
P (0.0000, 0.5000, 0.0000)
P (0.5000, 0.0000, 0.0000)
C (0.5000, 0.5000, 0.5000)
Cl (0.0000, 0.0000, 0.0000)
Cl (0.0000, 0.5000, 0.5000)
Cl (0.5000, 0.0000, 0.5000)
Cl (0.5000, 0.5000, 0.0000)

## Properties
The uncorrected formation energy is -22.25 eV per formula unit. The crystal system is trigonal. The value obtained for the calculated total energy is -102.6 eV per cell.